DFT (GGA-PBE) results for a relaxed structure of TbY2Sc.

Lattice parameters (Å, degrees): 3.5334 3.5334 11.3828 81.07 81.07 60.00
With the nearest neighbours (Å) after each atom.
Positions (direct):
Tb1 0.5004 0.5004 0.4988  6 Y 3.53-3.55, 6 Tb 3.53
Y1 0.0805 0.0805 0.7585  3 Sc 3.40, 6 Y 3.53, 3 Tb 3.55
Y2 0.2528 0.2528 0.2416  3 Sc 3.38, 3 Tb 3.53, 6 Y 3.53
Sc1 0.6663 0.6663 0.0011  6 Y 3.38-3.40, 6 Sc 3.53

formation energy	41	meV per atom
distance to the lowest polymorph of the same formula	17	meV/atom